[1]
# Pu3MnTl

A relaxed Pu3MnTl crystal (PBE, Alexandria via LeMat-Bulk).

Computed properties:
DOS at the Fermi energy, states/eV per atom: 4.50
Energy relative to the elements, kcal/mol of atoms: 3.42
Calculated volume, Å³/cell: 125.8
Mass density, g cm⁻³: 13.09
M_tot, μB per cell: 15.16
Crystal system: cubic

CIF file:
```
data_Pu3MnTl
_space_group_name_H-M_alt 'P m -3 m'
_space_group_IT_number 221
_space_group_name_Hall '-P 4 2 3'
_cell_length_a 5.010
_cell_length_b 5.010
_cell_length_c 5.010
_cell_angle_alpha 90.00
_cell_angle_beta 90.00
_cell_angle_gamma 90.00
loop_
_atom_site_label
_atom_site_type_symbol
_atom_site_fract_x
_atom_site_fract_y
_atom_site_fract_z
_atom_site_occupancy
Pu1 Pu 0.000 0.000 0.500 1
Mn1 Mn 0.000 0.000 0.000 1
Tl1 Tl 0.500 0.500 0.500 1
```

[2]
# WBr3Cl

A relaxed WBr3Cl crystal (PBE, Alexandria via LeMat-Bulk).

Computed properties:
Distance to the lowest polymorph of the same formula, kJ per mole of atoms: 190.79
DOS at the Fermi energy, states/eV per atom: 1.44
Calculated volume, Å³/cell: 148.2
Mass density, g cm⁻³: 5.14
M_tot, μB per cell: 5.04
Crystal system: cubic

CIF file:
```
data_WBr3Cl
_space_group_name_H-M_alt 'P m -3 m'
_space_group_IT_number 221
_space_group_name_Hall '-P 4 2 3'
_cell_length_a 5.292
_cell_length_b 5.292
_cell_length_c 5.292
_cell_angle_alpha 90.00
_cell_angle_beta 90.00
_cell_angle_gamma 90.00
loop_
_atom_site_label
_atom_site_type_symbol
_atom_site_fract_x
_atom_site_fract_y
_atom_site_fract_z
_atom_site_occupancy
W1 W 0.000 0.000 0.000 1
Br1 Br 0.000 0.500 0.500 1
Cl1 Cl 0.500 0.500 0.500 1
```

[3]
# Li2TbPr2In2

A relaxed Li2TbPr2In2 crystal (PBE, Alexandria via LeMat-Bulk).

Computed properties:
DOS at the Fermi energy, states/eV per atom: 0.87
Energy relative to the elements, kcal/mol of atoms: -5.73
Calculated volume, Å³/cell: 563.8
Mass density, g cm⁻³: 6.05
M_tot, μB per cell: 0.00
Crystal system: trigonal

CIF file:
```
data_Li2TbPr2In2
_space_group_name_H-M_alt 'R -3 m'
_space_group_IT_number 166
_space_group_name_Hall '-R 3 2"'
_cell_length_a 4.9168
_cell_length_b 4.9168
_cell_length_c 26.9320
_cell_angle_alpha 90.00
_cell_angle_beta 90.00
_cell_angle_gamma 120.00
loop_
_atom_site_label
_atom_site_type_symbol
_atom_site_fract_x
_atom_site_fract_y
_atom_site_fract_z
_atom_site_occupancy
Li1 Li 0.0000 0.0000 0.1105 1
Tb1 Tb 0.0000 0.0000 0.5000 1
Pr1 Pr 0.0000 0.0000 0.3727 1
In1 In 0.0000 0.0000 0.2333 1
```

[4]
# BeAsCCl

A relaxed BeAsCCl crystal (PBE, Alexandria via LeMat-Bulk).

Computed properties:
Distance to the lowest polymorph of the same formula, kJ per mole of atoms: 0.00
DOS at the Fermi energy, states/eV per atom: 0.00
Calculated volume, Å³/cell: 133.9
Mass density, g cm⁻³: 3.26
M_tot, μB per cell: 0.00
Crystal system: monoclinic

CIF file:
```
data_BeAsCCl
_space_group_name_H-M_alt 'C 1 m 1'
_space_group_IT_number 8
_cell_length_a 5.523
_cell_length_b 3.189
_cell_length_c 7.803
_cell_angle_alpha 90.00
_cell_angle_beta 103.03
_cell_angle_gamma 90.00
loop_
_space_group_symop_operation_xyz
'x,y,z'
'x,-y,z'
'x+1/2,y+1/2,z'
'x+1/2,-y+1/2,z'
loop_
_atom_site_label
_atom_site_type_symbol
_atom_site_fract_x
_atom_site_fract_y
_atom_site_fract_z
_atom_site_occupancy
Be1 Be 0.000 0.000 0.000 1
As1 As 0.275 0.500 0.340 1
C1 C 0.070 0.000 0.221 1
Cl1 Cl 0.289 0.000 0.860 1
```